No. 1
Below is a relaxed Zn2TeW crystal, with properties calculated at the GGA-PBE level.

ρ = 10.422 g cm⁻³
Uncorrected energy = -0.1493 hartree per atom
Raw formation energy = 2.4 eV per formula unit

Lattice parameters (Å, degrees): 4.1120 4.1120 8.3345 90.00 90.00 90.00
With the nearest neighbours (Å) after each atom.
Space group I-4m2 (No. 119)
One atom of each set of equivalent atoms:
Zn 0.0000 0.0000 0.0000 [2 per cell]  4 W 2.91, 4 Te 2.93, 4 Zn 2.93
Zn 0.0000 0.5000 0.2500 [2 per cell]  4 Te 2.91, 4 W 2.93, 4 Zn 2.93
Te 0.0000 0.5000 0.7500 [2 per cell]  8 Zn 2.91-2.93, 4 W 2.93
W 0.0000 0.0000 0.5000 [2 per cell]  8 Zn 2.91-2.93, 4 Te 2.93



No. 2
Below is a relaxed Ac3SiNi2 crystal, with properties calculated at the GGA-PBE level.

ρ = 8.216 g cm⁻³
Uncorrected energy = -0.1923 hartree per atom
Raw formation energy = -2.1 eV per formula unit

Lattice parameters (Å, degrees): 12.9727 4.0693 12.6563 90.00 90.00 90.00
With the nearest neighbours (Å) after each atom.
Space group Pnma (No. 62)
One atom of each set of equivalent atoms:
Ac 0.0876 0.2500 0.1332 [4 per cell]  1 Si 3.15, 4 Ni 3.17-3.21
Ac 0.1097 0.7500 0.5761 [4 per cell]  5 Ni 3.12-3.23, 3 Si 3.16-3.23
Ac 0.1876 0.2500 0.8344 [4 per cell]  3 Ni 2.96-3.31, 2 Si 3.17
Si 0.1302 0.2500 0.3787 [4 per cell]  3 Ni 2.34-2.45
Ni 0.0577 0.7500 0.3266 [4 per cell]  2 Si 2.34
Ni 0.2232 0.7500 0.0006 [4 per cell]  1 Si 2.45



No. 3
Below is a relaxed TcSb4Se crystal, with properties calculated at the GGA-PBE level.

ρ = 6.806 g cm⁻³
Uncorrected energy = -0.1525 hartree per atom
Raw formation energy = 5.4 eV per formula unit

Lattice parameters (Å, degrees): 8.6534 8.6534 8.6534 90.00 90.00 90.00
With the nearest neighbours (Å) after each atom.
Space group F-43m (No. 216)
One atom of each set of equivalent atoms:
Tc 0.0000 0.0000 0.0000 [4 per cell]  12 Sb 3.59, 4 Se 3.75
Sb 0.1245 0.1245 0.6245 [16 per cell]  6 Sb 3.05-3.07
Se 0.2500 0.2500 0.2500 [4 per cell]  12 Sb 3.59, 4 Tc 3.75



No. 4
Below is a relaxed LaHoMgPb crystal, with properties calculated at the GGA-PBE level.

Formation enthalpy at 0 K = -30.2 kJ per mole of atoms
ρ = 7.646 g cm⁻³
Uncorrected energy = -0.1476 hartree per atom

Lattice parameters (Å, degrees): 7.7476 7.7476 7.7476 90.00 90.00 90.00
With the nearest neighbours (Å) after each atom.
Space group F-43m (No. 216)
One atom of each set of equivalent atoms:
La 0.0000 0.0000 0.0000 [4 per cell]  4 Pb 3.35, 4 Mg 3.35
Ho 0.0000 0.0000 0.5000 [4 per cell]  4 Pb 3.35, 4 Mg 3.35
Mg 0.2500 0.2500 0.7500 [4 per cell]  4 La 3.35, 4 Ho 3.35
Pb 0.2500 0.2500 0.2500 [4 per cell]  4 La 3.35, 4 Ho 3.35



No. 5
Below is a relaxed Al2CrCoSb crystal, with properties calculated at the GGA-PBE level.

ρ = 3.967 g cm⁻³
Uncorrected energy = -0.1441 hartree per atom
Raw formation energy = 8.7 eV per formula unit

Lattice parameters (Å, degrees): 5.1471 5.1471 4.5286 90.00 90.00 90.00
With the nearest neighbours (Å) after each atom.
Space group P4/mmm (No. 123)
One atom of each set of equivalent atoms:
Al 0.0000 0.5000 0.0000 [2 per cell]  2 Sb 2.57
Cr 0.0000 0.0000 0.5000 [1 per cell]  8 Al 3.43, 4 Co 3.64
Co 0.5000 0.5000 0.5000 [1 per cell]  2 Sb 2.26
Sb 0.5000 0.5000 0.0000 [1 per cell]  2 Co 2.26



No. 6
Below is a relaxed BaAsN2 crystal, with properties calculated at the GGA-PBE level.

ρ = 6.197 g cm⁻³
Uncorrected energy = -0.1825 hartree per atom
Raw formation energy = 3.4 eV per formula unit

Lattice parameters (Å, degrees): 3.1773 3.1773 22.0896 90.00 90.00 120.00
With the nearest neighbours (Å) after each atom.
Space group R-3m (No. 166, hexagonal axes)
One atom of each set of equivalent atoms:
Ba 0.0000 0.0000 0.0000 [3 per cell]  2 N 2.67
As 0.0000 0.0000 0.5000 [3 per cell]  6 N 2.10
N 0.0000 0.0000 0.1207 [6 per cell]  3 As 2.10



No. 7
Below is a relaxed NdSm2Mg crystal, with properties calculated at the GGA-PBE level.

Formation enthalpy at 0 K = 6.1 kJ per mole of atoms
ρ = 6.176 g cm⁻³
ΔE to the lowest computed polymorph = 100 meV/atom
Uncorrected energy = -0.1428 hartree per atom

Lattice parameters (Å, degrees): 7.9615 7.9615 7.9615 90.00 90.00 90.00
With the nearest neighbours (Å) after each atom.
Space group Fm-3m (No. 225)
One atom of each set of equivalent atoms:
Nd 0.0000 0.0000 0.0000 [4 per cell]  8 Sm 3.45
Sm 0.2500 0.2500 0.2500 [8 per cell]  4 Mg 3.45, 4 Nd 3.45
Mg 0.0000 0.0000 0.5000 [4 per cell]  8 Sm 3.45



No. 8
Below is a relaxed LaPrErMg crystal, with properties calculated at the GGA-PBE level.

Formation enthalpy at 0 K = 0.3 kJ per mole of atoms
ρ = 6.130 g cm⁻³
ΔE to the lowest computed polymorph = 31 meV/atom
Uncorrected energy = -0.1456 hartree per atom

Lattice parameters (Å, degrees): 7.9936 7.9936 7.9936 90.00 90.00 90.00
With the nearest neighbours (Å) after each atom.
Space group F-43m (No. 216)
One atom of each set of equivalent atoms:
La 0.0000 0.0000 0.0000 [4 per cell]  4 Mg 3.46, 4 Er 3.46
Pr 0.0000 0.0000 0.5000 [4 per cell]  4 Er 3.46, 4 Mg 3.46
Er 0.2500 0.2500 0.7500 [4 per cell]  4 La 3.46, 4 Pr 3.46
Mg 0.2500 0.2500 0.2500 [4 per cell]  4 Pr 3.46, 4 La 3.46



Question: Which of these has the lowest uncorrected energy?
Answer: Ac3SiNi2



Copy entry 5 word for word.
Below is a relaxed Al2CrCoSb crystal, with properties calculated at the GGA-PBE level.

ρ = 3.967 g cm⁻³
Uncorrected energy = -0.1441 hartree per atom
Raw formation energy = 8.7 eV per formula unit

Lattice parameters (Å, degrees): 5.1471 5.1471 4.5286 90.00 90.00 90.00
With the nearest neighbours (Å) after each atom.
Space group P4/mmm (No. 123)
One atom of each set of equivalent atoms:
Al 0.0000 0.5000 0.0000 [2 per cell]  2 Sb 2.57
Cr 0.0000 0.0000 0.5000 [1 per cell]  8 Al 3.43, 4 Co 3.64
Co 0.5000 0.5000 0.5000 [1 per cell]  2 Sb 2.26
Sb 0.5000 0.5000 0.0000 [1 per cell]  2 Co 2.26



Question: What is the uncorrected energy in the fourth record?
Answer: -0.1476 hartree per atom



Question: Look up the ρ of the fifth one.
Answer: 3.967 g cm⁻³